A plane-wave DFT calculation with PBE-GGA was carried out for crystalline Ac5Gd3Dy12 at its relaxed geometry.

- crystal system = cubic

a b c (Å): 19.4692 19.4692 19.4692
angles (deg): 90.00 90.00 90.00
Closest atoms and distances in Å follow each position.
Space group Ia-3d (No. 230)
Inequivalent atoms, fractional coordinates:
1 Ac 0.0000 0.0000 0.0000  6 Dy 3.32
2 Ac 0.0000 0.2500 0.3750  4 Dy 3.57
3 Gd 0.0000 0.2500 0.1250  8 Dy 3.24-3.53
4 Dy 0.0015 0.0850 0.1477  3 Dy 3.18-3.50, 2 Gd 3.24-3.53, 1 Ac 3.32

A plane-wave DFT calculation with PBE-GGA was carried out for crystalline AcGd2Dy at its relaxed geometry.

- E above lowest polymorph (meV per atom) = 6
- crystal system = tetragonal

a b c (Å): 3.7071 3.7071 10.2497
angles (deg): 90.00 90.00 90.00
Closest atoms and distances in Å follow each position.
Space group P4/mmm (No. 123)
Inequivalent atoms, fractional coordinates:
1 Ac 0.0000 0.0000 0.0000  4 Ac 3.71, 8 Gd 3.78
2 Gd 0.5000 0.5000 0.2653  4 Dy 3.56, 4 Gd 3.71, 4 Ac 3.78
3 Dy 0.0000 0.0000 0.5000  8 Gd 3.56, 4 Dy 3.71

A plane-wave DFT calculation with PBE-GGA was carried out for crystalline AcGd2Dy at its relaxed geometry.

- E above lowest polymorph (meV per atom) = 73
- crystal system = cubic

a b c (Å): 8.2674 8.2674 8.2674
angles (deg): 90.00 90.00 90.00
Closest atoms and distances in Å follow each position.
Space group Fm-3m (No. 225)
Inequivalent atoms, fractional coordinates:
1 Ac 0.0000 0.0000 0.0000  8 Gd 3.58
2 Gd 0.2500 0.2500 0.2500  4 Ac 3.58, 4 Dy 3.58
3 Dy 0.0000 0.0000 0.5000  8 Gd 3.58

A plane-wave DFT calculation with PBE-GGA was carried out for crystalline AcGd2Dy at its relaxed geometry.

- E above lowest polymorph (meV per atom) = 125
- crystal system = trigonal

a b c (Å): 3.6081 3.6081 38.1157
angles (deg): 90.00 90.00 120.00
Closest atoms and distances in Å follow each position.
Space group R-3m (No. 166, hexagonal axes)
Inequivalent atoms, fractional coordinates:
1 Ac 0.0000 0.0000 0.0000  2 Gd 3.53, 6 Ac 3.61
2 Gd 0.0000 0.0000 0.0926  3 Dy 3.51, 1 Ac 3.53, 6 Gd 3.61
3 Dy 0.0000 0.0000 0.5000  6 Gd 3.51, 6 Dy 3.61

A plane-wave DFT calculation with PBE-GGA was carried out for crystalline Ac2GdDy at its relaxed geometry.

- E above lowest polymorph (meV per atom) = 54
- crystal system = cubic

a b c (Å): 8.4849 8.4849 8.4849
angles (deg): 90.00 90.00 90.00
Closest atoms and distances in Å follow each position.
Space group Fm-3m (No. 225)
Inequivalent atoms, fractional coordinates:
1 Ac 0.2500 0.2500 0.2500  4 Dy 3.67, 4 Gd 3.67
2 Gd 0.0000 0.0000 0.0000  8 Ac 3.67
3 Dy 0.0000 0.0000 0.5000  8 Ac 3.67

A plane-wave DFT calculation with PBE-GGA was carried out for crystalline Ac2GdDy at its relaxed geometry.

- E above lowest polymorph (meV per atom) = 0
- crystal system = tetragonal

a b c (Å): 5.4382 5.4382 5.1357
angles (deg): 90.00 90.00 90.00
Closest atoms and distances in Å follow each position.
Space group P4/mmm (No. 123)
Inequivalent atoms, fractional coordinates:
1 Ac 0.0000 0.5000 0.0000  4 Gd 3.74, 4 Dy 3.74, 4 Ac 3.85
2 Gd 0.0000 0.0000 0.5000  8 Ac 3.74, 4 Dy 3.85
3 Dy 0.5000 0.5000 0.5000  8 Ac 3.74, 4 Gd 3.85

A plane-wave DFT calculation with PBE-GGA was carried out for crystalline Ac4GdDy at its relaxed geometry.

- crystal system = cubic

a b c (Å): 10.1202 10.1202 10.1202
angles (deg): 90.00 90.00 90.00
Closest atoms and distances in Å follow each position.
Space group F-43m (No. 216)
Inequivalent atoms, fractional coordinates:
1 Ac 0.1246 0.1246 0.1246  6 Ac 3.57-3.59
2 Gd 0.0000 0.0000 0.5000  12 Ac 4.20, 4 Dy 4.38
3 Dy 0.2500 0.2500 0.7500  12 Ac 4.19, 4 Gd 4.38

A plane-wave DFT calculation with PBE-GGA was carried out for crystalline AcGd2Dy at its relaxed geometry.

- E above lowest polymorph (meV per atom) = 0
- crystal system = tetragonal

a b c (Å): 5.1898 5.1898 5.2071
angles (deg): 90.00 90.00 90.00
Closest atoms and distances in Å follow each position.
Space group P4/mmm (No. 123)
Inequivalent atoms, fractional coordinates:
1 Ac 0.0000 0.0000 0.0000  4 Dy 3.67, 8 Gd 3.68
2 Gd 0.0000 0.5000 0.5000  4 Gd 3.67, 4 Ac 3.68, 4 Dy 3.68
3 Dy 0.5000 0.5000 0.0000  4 Ac 3.67, 8 Gd 3.68

Number 1: ΔH_f (0 K) 990 meV per atom, energy -4.910 eV per atom. Number 2: ΔH_f (0 K) 51 meV per atom, energy -9.167 eV per atom. Number 3: ΔH_f (0 K) 118 meV per atom, energy -9.100 eV per atom. Number 4: ΔH_f (0 K) 170 meV per atom, energy -9.048 eV per atom. Number 5: ΔH_f (0 K) 94 meV per atom, energy -6.631 eV per atom. Number 6: ΔH_f (0 K) 40 meV per atom, energy -6.685 eV per atom. Number 7: ΔH_f (0 K) 363 meV per atom, energy -5.490 eV per atom. Number 8: ΔH_f (0 K) 45 meV per atom, energy -9.173 eV per atom.